First-principles (PBE-GGA) data for PmGa2Ni5Au after structural relaxation, as listed in Alexandria via LeMat-Bulk.

N(E_F)	0.548	states/eV/atom
energy of formation	-6.5	kJ per mole of atoms

Cell lengths 3.8405, 3.8405, 9.2340 Å; angles 90.00, 90.00, 90.00 degrees
Space group P4/mmm (No. 123)
One atom of each set of equivalent atoms:
Pm 0.0000 0.0000 0.0000
Ga 0.5000 0.5000 0.3673
Ni 0.0000 0.5000 0.2201
Ni 0.5000 0.5000 0.0000
Au 0.0000 0.0000 0.5000

---

First-principles (PBE-GGA) data for PmGa2NiAu after structural relaxation, as listed in Alexandria via LeMat-Bulk.

N(E_F)	0.625	states/eV/atom
energy of formation	-51.1	kJ per mole of atoms

Cell lengths 4.0327, 4.1894, 11.1893 Å; angles 90.00, 90.00, 90.00 degrees
Space group Imm2 (No. 44)
One atom of each set of equivalent atoms:
Pm 0.0000 0.0000 0.0000
Ga 0.0000 0.0000 0.3889
Ga 0.0000 0.5000 0.2276
Ni 0.0000 0.0000 0.5970
Au 0.0000 0.5000 0.7412